# 1
Cr2CoNi | SCAN | single point on PBEsol structure

Summary:
E above lowest polymorph = 0.0149 eV/atom
space-group type = Cmmm
ΔE_f = 0.13 eV/atom

Cell and atoms, written as CIF:
```
data_Cr2CoNi
_symmetry_space_group_name_H-M 'P 1'
_symmetry_Int_Tables_number 1
_cell_length_a 2.422
_cell_length_b 4.331
_cell_length_c 4.331
_cell_angle_alpha 112.25
_cell_angle_beta 90.00
_cell_angle_gamma 90.00
loop_
_symmetry_equiv_pos_as_xyz
'x,y,z'
loop_
_atom_site_label
_atom_site_fract_x
_atom_site_fract_y
_atom_site_fract_z
Co1 0.500 0.500 0.500
Ni1 0.500 0.000 0.000
Cr1 0.000 0.000 0.500
Cr2 0.000 0.500 0.000
```

***

# 2
Zr2Ni12P7 | SCAN | single point on PBEsol structure

Summary:
space-group type = P-6
ΔE_f = -0.77 eV/atom

Cell and atoms, written as CIF:
```
data_Zr2Ni12P7
_symmetry_space_group_name_H-M 'P 1'
_symmetry_Int_Tables_number 1
_cell_length_a 3.548
_cell_length_b 8.893
_cell_length_c 8.893
_cell_angle_alpha 120.00
_cell_angle_beta 90.00
_cell_angle_gamma 90.00
loop_
_symmetry_equiv_pos_as_xyz
'x,y,z'
loop_
_atom_site_label
_atom_site_fract_x
_atom_site_fract_y
_atom_site_fract_z
Zr1 0.000 0.667 0.333
P1 0.500 0.881 0.589
Ni1 0.000 0.880 0.157
Ni2 0.500 0.613 0.566
P2 0.000 0.292 0.881
Zr2 0.500 0.333 0.667
Ni3 0.000 0.843 0.723
Ni4 0.500 0.780 0.908
Ni5 0.000 0.060 0.626
P3 0.000 0.119 0.411
P4 0.500 0.708 0.119
Ni6 0.500 0.092 0.873
Ni7 0.000 0.374 0.434
Ni8 0.500 0.953 0.387
Ni9 0.000 0.566 0.940
P5 0.500 0.411 0.292
P6 0.000 0.000 0.000
Ni10 0.500 0.127 0.220
Ni11 0.000 0.277 0.120
P7 0.000 0.589 0.708
Ni12 0.500 0.434 0.047
```

***

# 3
KCo2Si | SCAN | single point on PBEsol structure

Summary:
space-group type = P4/mmm
formation energy from raw total energies = 0.40 eV per atom

Cell and atoms, written as CIF:
```
data_KCo2Si
_symmetry_space_group_name_H-M 'P 1'
_symmetry_Int_Tables_number 1
_cell_length_a 2.773
_cell_length_b 2.774
_cell_length_c 7.864
_cell_angle_alpha 90.00
_cell_angle_beta 90.00
_cell_angle_gamma 90.00
loop_
_symmetry_equiv_pos_as_xyz
'x,y,z'
loop_
_atom_site_label
_atom_site_fract_x
_atom_site_fract_y
_atom_site_fract_z
K1 0.500 0.500 0.000
Co1 0.000 0.000 0.661
Si1 0.500 0.500 0.500
Co2 0.000 0.000 0.339
```

***

# 4
Ba4C3 | SCAN | single point on PBEsol structure

Summary:
E above lowest polymorph = 0.0434 eV/atom
space-group type = I4/mmm
ΔE_f = 1.04 eV/atom

Cell and atoms, written as CIF:
```
data_Ba4C3
_symmetry_space_group_name_H-M 'P 1'
_symmetry_Int_Tables_number 1
_cell_length_a 3.835
_cell_length_b 3.835
_cell_length_c 12.692
_cell_angle_alpha 98.69
_cell_angle_beta 98.69
_cell_angle_gamma 90.00
loop_
_symmetry_equiv_pos_as_xyz
'x,y,z'
loop_
_atom_site_label
_atom_site_fract_x
_atom_site_fract_y
_atom_site_fract_z
C1 0.318 0.318 0.637
C2 0.000 0.000 0.000
Ba1 0.190 0.190 0.381
Ba2 0.810 0.810 0.619
Ba3 0.563 0.563 0.126
Ba4 0.437 0.437 0.874
C3 0.682 0.682 0.363
```

***

# 5
Co2PdW | SCAN | single point on PBEsol structure

Summary:
space-group type = Fm-3m
ΔE_f = 0.30 eV/atom

Cell and atoms, written as CIF:
```
data_Co2PdW
_symmetry_space_group_name_H-M 'P 1'
_symmetry_Int_Tables_number 1
_cell_length_a 4.121
_cell_length_b 4.121
_cell_length_c 4.121
_cell_angle_alpha 60.00
_cell_angle_beta 60.00
_cell_angle_gamma 60.00
loop_
_symmetry_equiv_pos_as_xyz
'x,y,z'
loop_
_atom_site_label
_atom_site_fract_x
_atom_site_fract_y
_atom_site_fract_z
Pd1 0.000 0.000 0.000
Co1 0.250 0.250 0.250
W1 0.500 0.500 0.500
Co2 0.750 0.750 0.750
```

***

# 6
Li2RhCl | SCAN | single point on PBEsol structure

Summary:
space-group type = P4mm
formation energy from raw total energies = -0.43 eV per atom

Cell and atoms, written as CIF:
```
data_Li2RhCl
_symmetry_space_group_name_H-M 'P 1'
_symmetry_Int_Tables_number 1
_cell_length_a 3.071
_cell_length_b 3.071
_cell_length_c 6.117
_cell_angle_alpha 90.00
_cell_angle_beta 90.00
_cell_angle_gamma 90.00
loop_
_symmetry_equiv_pos_as_xyz
'x,y,z'
loop_
_atom_site_label
_atom_site_fract_x
_atom_site_fract_y
_atom_site_fract_z
Rh1 0.000 0.000 0.458
Cl1 0.500 0.500 0.838
Li1 0.000 0.000 0.966
Li2 0.500 0.500 0.237
```

***

# 7
Zr2Ru | SCAN | single point on PBEsol structure

Summary:
space-group type = Cmcm
ΔE_f = -0.51 eV/atom

Cell and atoms, written as CIF:
```
data_Zr2Ru
_symmetry_space_group_name_H-M 'P 1'
_symmetry_Int_Tables_number 1
_cell_length_a 3.269
_cell_length_b 4.753
_cell_length_c 7.270
_cell_angle_alpha 90.00
_cell_angle_beta 102.99
_cell_angle_gamma 90.00
loop_
_symmetry_equiv_pos_as_xyz
'x,y,z'
loop_
_atom_site_label
_atom_site_fract_x
_atom_site_fract_y
_atom_site_fract_z
Zr1 0.236 0.250 0.471
Ru1 0.579 0.250 0.158
Zr2 0.764 0.750 0.529
Zr3 0.076 0.750 0.153
Ru2 0.421 0.750 0.842
Zr4 0.924 0.250 0.847
```

***

# 8
ThAl | SCAN | single point on PBEsol structure

Summary:
space-group type = Cmcm
ΔE_f = -0.29 eV/atom

Cell and atoms, written as CIF:
```
data_ThAl
_symmetry_space_group_name_H-M 'P 1'
_symmetry_Int_Tables_number 1
_cell_length_a 5.615
_cell_length_b 5.954
_cell_length_c 5.954
_cell_angle_alpha 76.65
_cell_angle_beta 90.00
_cell_angle_gamma 90.00
loop_
_symmetry_equiv_pos_as_xyz
'x,y,z'
loop_
_atom_site_label
_atom_site_fract_x
_atom_site_fract_y
_atom_site_fract_z
Th1 0.250 0.531 0.855
Al1 0.250 0.683 0.317
Al2 0.750 0.317 0.683
Th2 0.750 0.469 0.145
Th3 0.750 0.855 0.531
Al3 0.000 0.000 0.000
Th4 0.250 0.145 0.469
Al4 0.500 0.000 0.000
```

***

# 9
TePNCl2 | SCAN | single point on PBEsol structure

Summary:
space-group type = P4/mmm
formation energy from raw total energies = 1.14 eV per atom

Cell and atoms, written as CIF:
```
data_TePNCl2
_symmetry_space_group_name_H-M 'P 1'
_symmetry_Int_Tables_number 1
_cell_length_a 5.331
_cell_length_b 5.331
_cell_length_c 5.237
_cell_angle_alpha 90.00
_cell_angle_beta 90.00
_cell_angle_gamma 90.00
loop_
_symmetry_equiv_pos_as_xyz
'x,y,z'
loop_
_atom_site_label
_atom_site_fract_x
_atom_site_fract_y
_atom_site_fract_z
Cl1 0.000 0.500 0.000
P1 0.000 0.000 0.500
Cl2 0.500 0.000 0.000
Te1 0.000 0.000 0.000
N1 0.500 0.500 0.500
```

***

# 10
ScCo2ReBi | SCAN | single point on PBEsol structure

Summary:
space-group type = P4/mmm
ΔE_f = 1.96 eV/atom

Cell and atoms, written as CIF:
```
data_ScCo2ReBi
_symmetry_space_group_name_H-M 'P 1'
_symmetry_Int_Tables_number 1
_cell_length_a 4.252
_cell_length_b 4.252
_cell_length_c 5.206
_cell_angle_alpha 90.00
_cell_angle_beta 90.00
_cell_angle_gamma 90.00
loop_
_symmetry_equiv_pos_as_xyz
'x,y,z'
loop_
_atom_site_label
_atom_site_fract_x
_atom_site_fract_y
_atom_site_fract_z
Sc1 0.000 0.000 0.000
Re1 0.500 0.500 0.500
Co1 0.500 0.000 0.000
Co2 0.000 0.500 0.000
Bi1 0.000 0.000 0.500
```

***

# 11
La2PPb | SCAN | single point on PBEsol structure

Summary:
E above lowest polymorph = 0.2150 eV/atom
space-group type = Cm
ΔE_f = -1.05 eV/atom

Cell and atoms, written as CIF:
```
data_La2PPb
_symmetry_space_group_name_H-M 'P 1'
_symmetry_Int_Tables_number 1
_cell_length_a 4.368
_cell_length_b 4.499
_cell_length_c 6.179
_cell_angle_alpha 95.46
_cell_angle_beta 110.70
_cell_angle_gamma 90.00
loop_
_symmetry_equiv_pos_as_xyz
'x,y,z'
loop_
_atom_site_label
_atom_site_fract_x
_atom_site_fract_y
_atom_site_fract_z
Pb1 0.718 0.097 0.435
P1 0.521 0.655 0.042
La1 0.265 0.611 0.529
La2 0.997 0.136 0.994
```

***

# 12
CuTcSe2 | SCAN | single point on PBEsol structure

Summary:
E above lowest polymorph = 0.0000 eV/atom
space-group type = P4mm
formation energy from raw total energies = 0.03 eV per atom

Cell and atoms, written as CIF:
```
data_CuTcSe2
_symmetry_space_group_name_H-M 'P 1'
_symmetry_Int_Tables_number 1
_cell_length_a 3.217
_cell_length_b 3.217
_cell_length_c 6.518
_cell_angle_alpha 90.00
_cell_angle_beta 90.00
_cell_angle_gamma 90.00
loop_
_symmetry_equiv_pos_as_xyz
'x,y,z'
loop_
_atom_site_label
_atom_site_fract_x
_atom_site_fract_y
_atom_site_fract_z
Cu1 0.500 0.500 0.755
Tc1 0.000 0.000 0.511
Se1 0.000 0.000 0.897
Se2 0.500 0.500 0.336
```